Record 1
Sr2AlBiF | the Alexandria database | PBE | relaxed; uncorrected formation energy = -0.5419 eV per atom; ρ = 3.5 g/cm³
1.0
6.2186 0.0000 0.0000
0.0000 5.2405 0.0000
0.0000 0.0000 6.2186
Al F Sr Bi
1 1 2 1
Cartesian
0.0000 0.0000 0.0000
3.1093 2.6202 3.1093
0.0000 0.0000 3.1093
3.1093 0.0000 0.0000
0.0000 2.6202 0.0000

Record 2
CsCoRu | the Alexandria database | PBE | relaxed; relative energy among the computed polymorphs = 5 meV per atom; ΔE_f = 692 meV per atom; ρ = 5.1 g/cm³
1.0
-8.9404 1.7920 8.0790
1.3814 -3.0478 3.0370
2.5360 1.2993 2.5641
Cs Ru Co
2 2 2
Cartesian
-4.2719 0.2690 5.5825
-6.6477 0.5570 10.7992
-0.6030 0.7482 4.5748
-1.0349 -1.2234 6.0048
-0.8333 0.2566 2.1834
1.2191 -0.2406 6.1448

Record 3
Li3SbPb | the Alexandria database | PBE | relaxed; uncorrected formation energy = -0.3483 eV per atom; relative energy among the computed polymorphs = 85 meV per atom; ρ = 5.5 g/cm³
1.0
5.4357 0.0000 0.0000
0.0000 7.9407 -1.1230
0.0000 -3.3620 10.2667
Li Pb Sb
12 4 4
Cartesian
3.7018 2.8418 5.7104
3.2959 0.1621 7.1259
0.9839 4.0264 8.0051
4.8577 5.8135 1.4310
3.9847 5.4266 4.4033
1.7340 1.7370 3.4333
1.4511 -0.8479 4.7403
0.5780 -1.2347 7.7127
2.1399 4.4167 2.0178
1.2668 1.4415 9.3122
4.1689 3.1373 -0.1685
4.4518 0.5524 1.1385
1.5231 2.0734 0.3177
3.9126 2.5054 8.8259
1.1947 4.3628 4.8896
4.2410 0.2160 4.2541
4.6478 3.1470 2.6827
0.7879 1.4318 6.4610
1.9300 7.0832 0.7661
3.5058 -2.5044 8.3776

Number 1: DOS(E_F) 1.65 states/eV per cell. Number 2: DOS(E_F) 7.58 states/eV per cell. Number 3: DOS(E_F) 6.18 states/eV per cell.